1.
# ZnCd3, relaxed, DFT PBE
# Formation enthalpy at 0 K, meV per atom: 50
data_ZnCd3
_chemical_formula_sum 'Zn2 Cd6'
_cell_length_a 5.772
_cell_length_b 7.956
_cell_length_c 3.710
_cell_angle_alpha 90.00
_cell_angle_beta 90.00
_cell_angle_gamma 90.00
_space_group_name_H-M_alt 'C m m m'
_space_group_IT_number 65
_space_group_name_Hall '-C 2 2'
loop_
_atom_site_label
_atom_site_fract_x
_atom_site_fract_y
_atom_site_fract_z
Zn1 0.000 0.000 0.000
Cd1 0.000 0.500 0.000
Cd2 0.250 0.250 0.500

***

2.
# Th3N4, relaxed, DFT PBE
# Distance to the lowest polymorph of the same formula, meV/atom: 107
# Raw formation energy, eV/atom: -1.504
data_Th3N4
_chemical_formula_sum 'Th12 N16'
_cell_length_a 7.648
_cell_length_b 7.648
_cell_length_c 7.648
_cell_angle_alpha 90.00
_cell_angle_beta 90.00
_cell_angle_gamma 90.00
_space_group_name_H-M_alt 'I -4 3 d'
_space_group_IT_number 220
_space_group_name_Hall 'I -4bd 2c 3'
loop_
_atom_site_label
_atom_site_fract_x
_atom_site_fract_y
_atom_site_fract_z
Th1 0.000 0.250 0.375
N1 0.057 0.057 0.057

***

We obtain density values of 7.85; 11.17 g/cm3 for the records listed above, in that order.
We obtain volume values of 21.3; 16.0 Å³/atom for the records listed above, in that order.
We obtain uncorrected energy values of -0.95; -9.44 eV per atom for the records listed above, in that order.